(1)
A geometry-optimized Cu2SiBr structure. Source: Alexandria, functional GGA-PBEsol.

Structure (CIF):
```
data_Cu2SiBr
_chemical_formula_sum 'Cu4 Si2 Br2'
_cell_length_a 5.368
_cell_length_b 7.265
_cell_length_c 3.154
_cell_angle_alpha 90.00
_cell_angle_beta 90.00
_cell_angle_gamma 90.00
_symmetry_space_group_name_H-M 'C m m m'
_symmetry_Int_Tables_number 65
_symmetry_space_group_name_Hall '-C 2 2'
loop_
_atom_site_label
_atom_site_fract_x
_atom_site_fract_y
_atom_site_fract_z
Cu1 0.250 0.250 0.000
Si1 0.000 0.000 0.500
Br1 0.000 0.500 0.500
```

Calculated values
The excess energy over the best structure of this formula in the dataset comes out at 0 meV per atom. For the size of the total moment, the calculation gives 0.00 μB/f.u. Its formation energy from raw total energies is 0.49 eV per atom. The density of states at the Fermi level comes out at 2.62 states/eV/cell.



(2)
A geometry-optimized NaMnOF2 structure. Source: Alexandria, functional GGA-PBEsol.

Structure (CIF):
```
data_NaMnOF2
_chemical_formula_sum 'Na1 Mn1 O1 F2'
_cell_length_a 3.996
_cell_length_b 3.996
_cell_length_c 3.690
_cell_angle_alpha 90.00
_cell_angle_beta 90.00
_cell_angle_gamma 90.00
_symmetry_space_group_name_H-M 'P 4/m m m'
_symmetry_Int_Tables_number 123
_symmetry_space_group_name_Hall '-P 4 2'
loop_
_atom_site_label
_atom_site_fract_x
_atom_site_fract_y
_atom_site_fract_z
Na1 0.000 0.000 0.000
Mn1 0.500 0.500 0.500
O1 0.500 0.500 0.000
F1 0.000 0.500 0.500
```

Calculated values
For the size of the total moment, the calculation gives 4.00 μB/f.u. Its formation energy from raw total energies is -2.14 eV per atom. The density of states at the Fermi level comes out at 1.39 states/eV/cell.



(3)
A geometry-optimized CoHg3Br structure. Source: Alexandria, functional GGA-PBEsol.

Structure (CIF):
```
data_CoHg3Br
_chemical_formula_sum 'Co1 Hg3 Br1'
_cell_length_a 5.589
_cell_length_b 5.589
_cell_length_c 5.589
_cell_angle_alpha 90.00
_cell_angle_beta 90.00
_cell_angle_gamma 90.00
_symmetry_space_group_name_H-M 'P m -3 m'
_symmetry_Int_Tables_number 221
_symmetry_space_group_name_Hall '-P 4 2 3'
loop_
_atom_site_label
_atom_site_fract_x
_atom_site_fract_y
_atom_site_fract_z
Co1 0.000 0.000 0.000
Hg1 0.000 0.500 0.500
Br1 0.500 0.500 0.500
```

Calculated values
For the size of the total moment, the calculation gives 2.36 μB/f.u. Its formation energy from raw total energies is 1.28 eV per atom. The density of states at the Fermi level comes out at 8.09 states/eV/cell.



What is the formula in the first record? Cu2SiBr



What is the size of the total moment in the third record? 2.36 μB/f.u.



size of the total moment of number 1 (Cu2SiBr)? 0.00 μB/f.u.



Among the records above, which one has the lowest size of the total moment? Cu2SiBr